1.
Material: Tb2Pr2DyEr
Method: DFT, PBE-GGA
State: optimized geometry

Summary:
Crystal system ... orthorhombic
Space group ... No. 51
Formation energy ... 0.4 eV/f.u.

Cell lengths 5.677, 7.053, 9.845 Å; angles 90.00, 90.00, 90.00 degrees
Fractional coordinates of all 12 atoms:
Tb  0.000  0.258  0.836
Tb  0.500  0.258  0.333
Tb  0.000  0.758  0.164
Tb  0.500  0.758  0.667
Pr  0.500  0.008  0.000
Pr  0.000  0.258  0.178
Pr  0.500  0.508  0.000
Pr  0.000  0.758  0.822
Dy  0.500  0.258  0.659
Dy  0.500  0.758  0.341
Er  0.000  0.008  0.500
Er  0.000  0.508  0.500

---

2.
Material: Pm8HRu3Br4
Method: DFT, PBE-GGA
State: optimized geometry

Summary:
Crystal system ... monoclinic
Space group ... No. 12
E_tot ... -5.54 eV per atom

Cell lengths 7.966, 9.119, 7.983 Å; angles 116.09, 119.93, 90.00 degrees
Fractional coordinates of all 16 atoms:
Pm  0.231  0.693  0.963
Pm  0.232  0.694  0.464
Pm  0.266  0.297  0.531
Pm  0.731  0.693  0.963
Pm  0.269  0.307  0.037
Pm  0.734  0.703  0.469
Pm  0.768  0.306  0.536
Pm  0.769  0.307  0.037
H  0.000  0.500  0.000
Ru  0.500  0.500  0.000
Ru  0.500  0.500  0.500
Ru  0.000  0.500  0.500
Br  0.500  0.000  0.000
Br  0.500  0.000  0.500
Br  0.000  0.000  0.000
Br  0.000  0.000  0.500

---

3.
Material: Nd2Mn2BeN6
Method: DFT, PBE-GGA
State: optimized geometry

Summary:
Crystal system ... trigonal
Space group ... No. 166
E_tot ... -7.86 eV per atom

Cell lengths 5.481, 5.481, 6.025 Å; angles 62.94, 62.94, 60.00 degrees
Fractional coordinates of all 11 atoms:
Nd  0.770  0.770  0.689
Nd  0.230  0.230  0.311
Mn  0.430  0.430  0.710
Mn  0.570  0.570  0.290
Be  0.000  0.000  0.000
N  0.765  0.765  0.226
N  0.243  0.765  0.226
N  0.765  0.243  0.226
N  0.235  0.757  0.774
N  0.757  0.235  0.774
N  0.235  0.235  0.774

---

4.
Material: NiMo3
Method: DFT, PBE-GGA
State: optimized geometry

Summary:
Crystal system ... tetragonal
Space group ... No. 123
Formation energy ... 0.5 eV/f.u.

Cell lengths 3.207, 3.207, 5.717 Å; angles 90.00, 90.00, 90.00 degrees
Fractional coordinates of all 4 atoms:
Mo  0.000  0.000  0.987
Mo  0.000  0.000  0.513
Mo  0.500  0.500  0.250
Ni  0.500  0.500  0.750

---

5.
Material: TaIrPtAu2
Method: DFT, PBE-GGA
State: optimized geometry

Summary:
Crystal system ... tetragonal
Space group ... No. 123
Formation energy ... 7.9 eV/f.u.

Cell lengths 4.977, 4.710, 4.977 Å; angles 90.00, 90.00, 90.00 degrees
Last column: magnetic moment on the atom in μB.
Fractional coordinates of all 5 atoms:
Ir  0.000  0.000  0.000  0.11
Au  0.000  0.000  0.500  -0.03
Au  0.500  0.000  0.000  0.01
Pt  0.000  0.500  0.000  -0.04
Ta  0.500  0.500  0.500  1.72

---

6.
Material: Al2Sb
Method: DFT, PBE-GGA
State: optimized geometry

Summary:
Crystal system ... trigonal
Space group ... No. 164
E_tot ... -3.63 eV per atom

Cell lengths 4.873, 4.873, 3.102 Å; angles 90.00, 90.00, 120.00 degrees
Fractional coordinates of all 3 atoms:
Sb  0.000  0.000  0.000
Al  0.667  0.333  0.303
Al  0.333  0.667  0.697

---

7.
Material: Li2ErPt2
Method: DFT, PBE-GGA
State: optimized geometry

Summary:
Crystal system ... monoclinic
Space group ... No. 12
ΔE to the lowest computed polymorph ... 0 meV per atom
Formation energy ... -3.8 eV/f.u.

Cell lengths 5.235, 5.235, 5.166 Å; angles 51.53, 51.53, 51.54 degrees
Fractional coordinates of all 5 atoms:
Li  0.414  0.414  0.422
Li  0.586  0.586  0.578
Er  0.000  0.000  0.000
Pt  0.781  0.781  0.787
Pt  0.219  0.219  0.213

---

8.
Material: USi3Ru5
Method: DFT, PBE-GGA
State: optimized geometry

Summary:
Crystal system ... orthorhombic
Space group ... No. 63
E_tot ... -8.55 eV per atom

Cell lengths 2.939, 6.763, 14.098 Å; angles 90.00, 90.00, 102.55 degrees
Last column: magnetic moment on the atom in μB.
Fractional coordinates of all 18 atoms:
U  0.857  0.714  0.750  1.66
U  0.143  0.286  0.250  1.66
Si  0.365  0.730  0.952  -0.01
Si  0.862  0.724  0.250  0.00
Si  0.365  0.730  0.548  -0.01
Si  0.635  0.270  0.452  -0.01
Si  0.138  0.276  0.750  0.00
Si  0.635  0.270  0.048  -0.01
Ru  0.805  0.609  0.416  -0.08
Ru  0.195  0.391  0.916  -0.08
Ru  0.000  0.000  0.500  -0.04
Ru  0.000  0.000  0.000  -0.04
Ru  0.479  0.958  0.155  -0.13
Ru  0.521  0.042  0.845  -0.13
Ru  0.521  0.042  0.655  -0.13
Ru  0.805  0.609  0.084  -0.08
Ru  0.195  0.391  0.584  -0.08
Ru  0.479  0.958  0.345  -0.13

---

9.
Material: La3CoPb
Method: DFT, PBE-GGA
State: optimized geometry

Summary:
Crystal system ... cubic
Space group ... No. 221
ΔE to the lowest computed polymorph ... 0 meV per atom
Formation energy ... -2.0 eV/f.u.

Cell lengths 5.332, 5.332, 5.332 Å; angles 90.00, 90.00, 90.00 degrees
Fractional coordinates of all 5 atoms:
Pb  0.500  0.500  0.500
Co  0.000  0.000  0.000
La  0.000  0.500  0.000
La  0.000  0.000  0.500
La  0.500  0.000  0.000

---

10.
Material: SrMnZn2
Method: DFT, PBE-GGA
State: optimized geometry

Summary:
Crystal system ... tetragonal
Space group ... No. 119
Formation energy ... 1.2 eV/f.u.

Cell lengths 4.962, 4.962, 4.962 Å; angles 120.46, 120.46, 89.21 degrees
Last column: magnetic moment on the atom in μB.
Fractional coordinates of all 4 atoms:
Mn  0.500  0.500  0.000  4.08
Sr  0.750  0.250  0.500  0.04
Zn  0.000  0.000  0.000  0.01
Zn  0.250  0.750  0.500  -0.01

---

11.
Material: PuTa4
Method: DFT, PBE-GGA
State: optimized geometry

Summary:
Crystal system ... cubic
Space group ... No. 221
Formation energy ... 7.8 eV/f.u.

Cell lengths 4.768, 4.768, 4.768 Å; angles 90.00, 90.00, 90.00 degrees
Fractional coordinates of all 5 atoms:
Ta  0.000  0.000  0.000
Ta  0.500  0.000  0.500
Ta  0.000  0.500  0.500
Ta  0.500  0.500  0.000
Pu  0.500  0.500  0.500

---

12.
Material: Pu3Ga3Cu2
Method: DFT, PBE-GGA
State: optimized geometry

Summary:
Crystal system ... orthorhombic
Space group ... No. 63
ΔE to the lowest computed polymorph ... 12 meV per atom
Formation energy ... -1.4 eV/f.u.

Cell lengths 4.496, 5.474, 13.926 Å; angles 90.00, 90.00, 114.25 degrees
Last column: magnetic moment on the atom in μB.
Fractional coordinates of all 16 atoms:
Pu  0.657  0.313  0.033  5.28
Pu  0.343  0.687  0.533  5.28
Pu  0.657  0.313  0.467  5.28
Pu  0.343  0.687  0.967  5.28
Pu  0.482  0.963  0.250  -5.23
Pu  0.518  0.037  0.750  -5.23
Ga  0.960  0.920  0.099  -0.05
Ga  0.040  0.080  0.599  -0.05
Ga  0.960  0.920  0.401  -0.05
Ga  0.040  0.080  0.901  -0.05
Ga  0.781  0.562  0.250  0.00
Ga  0.219  0.438  0.750  0.00
Cu  0.800  0.601  0.664  0.00
Cu  0.200  0.399  0.164  0.00
Cu  0.800  0.601  0.836  0.00
Cu  0.200  0.399  0.336  0.00